1.
# LaRe4 | the Alexandria database | PBEsol | optimized geometry
# Energy: -0.852 Ry/atom
# Total magnetic moment: 0.00 μB/f.u.
data_LaRe4
_chemical_formula_sum 'La2 Re8'
_space_group_name_H-M_alt 'I 4/m m m'
_space_group_IT_number 139
_space_group_name_Hall '-I 4 2'
_cell_length_a 4.303
_cell_length_b 4.303
_cell_length_c 10.540
_cell_angle_alpha 90.00
_cell_angle_beta 90.00
_cell_angle_gamma 90.00
loop_
_atom_site_label
_atom_site_type_symbol
_atom_site_fract_x
_atom_site_fract_y
_atom_site_fract_z
La1 La 0.000 0.000 0.000
Re1 Re 0.000 0.000 0.375
Re2 Re 0.000 0.500 0.250

=====

2.
# SrLi2Si | the Alexandria database | PBEsol | optimized geometry
# Uncorrected formation energy: -0.186 eV per atom
# Total magnetic moment: 0.00 μB/f.u.
data_SrLi2Si
_chemical_formula_sum 'Sr4 Li8 Si4'
_space_group_name_H-M_alt 'F -4 3 m'
_space_group_IT_number 216
_space_group_name_Hall 'F -4 2 3'
_cell_length_a 7.048
_cell_length_b 7.048
_cell_length_c 7.048
_cell_angle_alpha 90.00
_cell_angle_beta 90.00
_cell_angle_gamma 90.00
loop_
_atom_site_label
_atom_site_type_symbol
_atom_site_fract_x
_atom_site_fract_y
_atom_site_fract_z
Sr1 Sr 0.000 0.000 0.000
Li1 Li 0.000 0.000 0.500
Li2 Li 0.250 0.250 0.750
Si1 Si 0.250 0.250 0.250

=====

3.
# YAl2Co2 | the Alexandria database | PBEsol | optimized geometry
# Energy: -0.474 Ry/atom
# Total magnetic moment: 0.00 μB/f.u.
data_YAl2Co2
_chemical_formula_sum 'Y2 Al4 Co4'
_space_group_name_H-M_alt 'P 4/m b m'
_space_group_IT_number 127
_space_group_name_Hall '-P 4 2ab'
_cell_length_a 7.190
_cell_length_b 7.190
_cell_length_c 2.797
_cell_angle_alpha 90.00
_cell_angle_beta 90.00
_cell_angle_gamma 90.00
loop_
_atom_site_label
_atom_site_type_symbol
_atom_site_fract_x
_atom_site_fract_y
_atom_site_fract_z
Y1 Y 0.000 0.000 0.000
Al1 Al 0.137 0.363 0.500
Co1 Co 0.153 0.653 0.000

=====

4.
# SbAs2Pb | the Alexandria database | PBEsol | optimized geometry
# Uncorrected formation energy: 0.293 eV per atom
# Total magnetic moment: 0.00 μB/f.u.
data_SbAs2Pb
_chemical_formula_sum 'Sb2 As4 Pb2'
_space_group_name_H-M_alt 'C 1 2/m 1'
_space_group_IT_number 12
_cell_length_a 6.424
_cell_length_b 9.649
_cell_length_c 3.134
_cell_angle_alpha 90.00
_cell_angle_beta 106.97
_cell_angle_gamma 90.00
loop_
_space_group_symop_operation_xyz
'x,y,z'
'-x,-y,-z'
'-x,y,-z'
'x,-y,z'
'x+1/2,y+1/2,z'
'-x+1/2,-y+1/2,-z'
'-x+1/2,y+1/2,-z'
'x+1/2,-y+1/2,z'
loop_
_atom_site_label
_atom_site_type_symbol
_atom_site_fract_x
_atom_site_fract_y
_atom_site_fract_z
Sb1 Sb 0.000 0.000 0.000
As1 As 0.250 0.250 0.500
Pb1 Pb 0.000 0.500 0.000

=====

5.
# Li17Nb18O54 | the Alexandria database | PBEsol | optimized geometry
# Uncorrected formation energy: -2.457 eV per atom
# Total magnetic moment: 0.02 μB/f.u.
data_Li17Nb18O54
_chemical_formula_sum 'Li17 Nb18 O54'
_space_group_name_H-M_alt 'P 1'
_space_group_IT_number 1
_cell_length_a 8.934
_cell_length_b 9.761
_cell_length_c 11.701
_cell_angle_alpha 79.40
_cell_angle_beta 75.26
_cell_angle_gamma 81.23
loop_
_space_group_symop_operation_xyz
'x,y,z'
loop_
_atom_site_label
_atom_site_type_symbol
_atom_site_fract_x
_atom_site_fract_y
_atom_site_fract_z
Li1 Li 0.000 0.000 0.000
Li2 Li 0.050 0.110 0.278
Li3 Li 0.105 0.224 0.558
Li4 Li 0.161 0.332 0.835
Li5 Li 0.219 0.445 0.110
Li6 Li 0.273 0.557 0.389
Li7 Li 0.329 0.667 0.667
Li8 Li 0.383 0.778 0.946
Li9 Li 0.440 0.885 0.224
Li10 Li 0.498 0.000 0.500
Li11 Li 0.550 0.109 0.777
Li12 Li 0.661 0.332 0.335
Li13 Li 0.720 0.443 0.612
Li14 Li 0.774 0.554 0.890
Li15 Li 0.830 0.668 0.166
Li16 Li 0.884 0.781 0.445
Li17 Li 0.940 0.889 0.722
Nb1 Nb 0.013 0.599 0.649
Nb2 Nb 0.068 0.711 0.927
Nb3 Nb 0.122 0.823 0.206
Nb4 Nb 0.180 0.933 0.484
Nb5 Nb 0.235 0.044 0.762
Nb6 Nb 0.297 0.154 0.040
Nb7 Nb 0.345 0.267 0.318
Nb8 Nb 0.401 0.378 0.596
Nb9 Nb 0.456 0.489 0.873
Nb10 Nb 0.513 0.598 0.150
Nb11 Nb 0.569 0.710 0.428
Nb12 Nb 0.624 0.821 0.706
Nb13 Nb 0.679 0.932 0.984
Nb14 Nb 0.734 0.045 0.257
Nb15 Nb 0.792 0.155 0.541
Nb16 Nb 0.841 0.263 0.822
Nb17 Nb 0.901 0.377 0.095
Nb18 Nb 0.957 0.489 0.372
O1 O 0.000 0.099 0.461
O2 O 0.017 0.780 0.098
O3 O 0.025 0.151 0.853
O4 O 0.028 0.805 0.549
O5 O 0.086 0.665 0.328
O6 O 0.103 0.696 0.763
O7 O 0.108 0.317 0.018
O8 O 0.127 0.001 0.655
O9 O 0.136 0.374 0.409
O10 O 0.141 0.027 0.105
O11 O 0.198 0.887 0.884
O12 O 0.215 0.918 0.319
O13 O 0.221 0.544 0.571
O14 O 0.241 0.221 0.210
O15 O 0.248 0.599 0.963
O16 O 0.251 0.248 0.661
O17 O 0.308 0.109 0.442
O18 O 0.326 0.140 0.875
O19 O 0.331 0.763 0.129
O20 O 0.348 0.448 0.763
O21 O 0.360 0.818 0.519
O22 O 0.361 0.469 0.216
O23 O 0.406 0.335 0.993
O24 O 0.435 0.366 0.431
O25 O 0.443 0.987 0.684
O26 O 0.461 0.668 0.320
O27 O 0.469 0.031 0.076
O28 O 0.472 0.692 0.770
O29 O 0.533 0.553 0.550
O30 O 0.548 0.584 0.985
O31 O 0.555 0.206 0.251
O32 O 0.572 0.887 0.876
O33 O 0.581 0.262 0.630
O34 O 0.585 0.914 0.326
O35 O 0.644 0.772 0.105
O36 O 0.659 0.808 0.541
O37 O 0.664 0.429 0.795
O38 O 0.687 0.109 0.433
O39 O 0.691 0.484 0.187
O40 O 0.696 0.130 0.877
O41 O 0.754 0.996 0.662
O42 O 0.776 0.021 0.095
O43 O 0.777 0.653 0.348
O44 O 0.803 0.706 0.741
O45 O 0.804 0.342 0.980
O46 O 0.807 0.359 0.437
O47 O 0.864 0.219 0.216
O48 O 0.880 0.254 0.653
O49 O 0.888 0.874 0.904
O50 O 0.904 0.558 0.541
O51 O 0.914 0.932 0.297
O52 O 0.918 0.582 0.994
O53 O 0.978 0.441 0.768
O54 O 0.993 0.474 0.207

=====

6.
# SrCa4W | the Alexandria database | PBEsol | optimized geometry
# Energy: -0.221 Ry/atom
# Total magnetic moment: 4.04 μB/f.u.
data_SrCa4W
_chemical_formula_sum 'Sr4 Ca16 W4'
_space_group_name_H-M_alt 'F -4 3 m'
_space_group_IT_number 216
_space_group_name_Hall 'F -4 2 3'
_cell_length_a 9.425
_cell_length_b 9.425
_cell_length_c 9.425
_cell_angle_alpha 90.00
_cell_angle_beta 90.00
_cell_angle_gamma 90.00
loop_
_atom_site_label
_atom_site_type_symbol
_atom_site_fract_x
_atom_site_fract_y
_atom_site_fract_z
Sr1 Sr 0.000 0.000 0.000
Ca1 Ca 0.124 0.124 0.624
W1 W 0.250 0.250 0.250